No. 1
# SrFeRu2

A relaxed structure of SrFeRu2 (PBE, the Alexandria database).

## Properties
* calculated volume: 21.81 Å³/atom
* DOS(E_F): 3.65 states/eV per cell
* DFT formation energy: 0.308 eV/atom
* E above lowest polymorph: 0 meV/atom
* M_tot: 2.36 μB/cell
* energy: -0.2523 Ha/atom

abc: 4.2610 4.2610 6.0697
angles: 69.46 69.46 60.00
Last column: magnetic moment on the atom in μB.
Atoms (fractional coordinates):
Fe 0.2500 0.2500 0.2500  2.42
Ru 0.9386 0.9386 0.1841  0.03
Ru 0.5614 0.5614 0.3159  0.03
Sr 0.7500 0.7500 0.7500  -0.03

---

No. 2
# SrFeRu2

A relaxed structure of SrFeRu2 (PBE, the Alexandria database).

## Properties
* calculated volume: 17.25 Å³/atom
* DOS(E_F): 4.89 states/eV per cell
* DFT formation energy: 0.922 eV/atom
* E above lowest polymorph: 614 meV/atom
* M_tot: 2.94 μB/cell
* energy: -0.2297 Ha/atom

abc: 5.2618 5.2618 2.6637
angles: 90.00 90.00 110.70
Last column: magnetic moment on the atom in μB.
Atoms (fractional coordinates):
Fe 0.0000 0.5000 0.5000  2.85
Ru 0.0000 0.0000 0.0000  0.07
Ru 0.5000 0.5000 0.0000  0.07
Sr 0.5000 0.0000 0.5000  -0.02

---

No. 3
# SrFeRu2

A relaxed structure of SrFeRu2 (PBE, the Alexandria database).

## Properties
* calculated volume: 21.94 Å³/atom
* DOS(E_F): 3.42 states/eV per cell
* DFT formation energy: 0.311 eV/atom
* E above lowest polymorph: 3 meV/atom
* M_tot: 2.86 μB/cell
* energy: -0.2522 Ha/atom

abc: 4.2821 4.2821 6.0554
angles: 69.28 69.28 60.00
Last column: magnetic moment on the atom in μB.
Atoms (fractional coordinates):
Fe 0.3050 0.3050 0.0849  2.75
Ru 0.0110 0.0110 0.9668  0.10
Ru 0.6858 0.6858 0.9425  0.02
Sr 0.4981 0.4981 0.5058  -0.02

---

No. 4
# Sr2FeRu

A relaxed structure of Sr2FeRu (PBE, the Alexandria database).

## Properties
* calculated volume: 25.51 Å³/atom
* DOS(E_F): 4.90 states/eV per cell
* DFT formation energy: 0.987 eV/atom
* E above lowest polymorph: 783 meV/atom
* M_tot: 2.87 μB/cell
* energy: -0.1576 Ha/atom

abc: 9.7265 9.7265 9.7265
angles: 20.85 20.85 20.85
Last column: magnetic moment on the atom in μB.
Atoms (fractional coordinates):
Fe 0.2500 0.2500 0.2500  2.99
Ru 0.7500 0.7500 0.7500  0.20
Sr 0.0066 0.0066 0.0066  -0.05
Sr 0.4934 0.4934 0.4934  -0.05